(1)
# Nd3Tl4SbSe8

Crystalline Nd3Tl4SbSe8 at its relaxed geometry (PBE-GGA, the Alexandria database).

Output
ΔE_f (raw)	-1118	meV per atom

```
Nd3Tl4SbSe8
1.0
4.307 2.487 7.720
-4.307 2.487 7.720
0.000 -4.973 7.720
Nd Tl Sb Se
3 4 1 8
Direct
0.000 0.500 0.500
0.500 0.000 0.500
0.500 0.500 0.000
0.000 0.000 0.500
0.000 0.500 0.000
0.500 0.000 0.000
0.500 0.500 0.500
0.000 0.000 0.000
0.233 0.233 0.742
0.233 0.742 0.233
0.258 0.767 0.767
0.263 0.263 0.263
0.737 0.737 0.737
0.742 0.233 0.233
0.767 0.258 0.767
0.767 0.767 0.258
```

(2)
# La3Pm6SmTm2

Crystalline La3Pm6SmTm2 at its relaxed geometry (PBE-GGA, the Alexandria database).

Output
formation energy from the elements	0.02	eV/atom

```
La3Pm6SmTm2
1.0
3.158 -5.474 0.000
3.158 5.474 0.000
-2.116 0.000 11.910
La Pm Sm Tm
3 6 1 2
Direct
0.000 0.000 0.000
0.333 0.667 0.000
0.667 0.333 0.000
0.084 0.419 0.256
0.247 0.247 0.744
0.419 0.084 0.256
0.581 0.916 0.744
0.753 0.753 0.256
0.916 0.581 0.744
0.500 0.500 0.500
0.167 0.833 0.500
0.833 0.167 0.500
```

(3)
# ScInHg

Crystalline ScInHg at its relaxed geometry (PBE-GGA, the Alexandria database).

Output
energy above the most stable polymorph in this dataset	0	meV per atom
formation energy from the elements	-0.32	eV/atom

```
ScInHg
1.0
4.431 0.000 0.000
0.000 4.485 0.000
-2.202 0.000 6.836
Sc In Hg
2 2 2
Direct
0.158 0.000 0.316
0.842 0.000 0.684
0.325 0.500 0.650
0.675 0.500 0.350
0.000 0.500 0.000
0.500 0.000 0.000
```

(4)
# TlRu2Se

Crystalline TlRu2Se at its relaxed geometry (PBE-GGA, the Alexandria database).

Output
energy above the most stable polymorph in this dataset	110	meV per atom
ΔE_f (raw)	394	meV per atom

```
TlRu2Se
1.0
-1.582 1.849 6.178
1.582 -1.849 6.178
1.582 1.849 -6.178
Tl Ru Se
1 2 1
Direct
0.000 0.000 0.000
0.320 0.820 0.500
0.613 0.613 0.000
0.761 0.261 0.500
```

(5)
# ScCr2

Crystalline ScCr2 at its relaxed geometry (PBE-GGA, the Alexandria database).

Output
formation energy from the elements	0.45	eV/atom

```
ScCr2
1.0
-1.469 2.320 6.947
1.469 -2.320 6.947
1.469 2.320 -6.947
Sc Cr
2 4
Direct
0.387 0.137 0.250
0.613 0.863 0.750
0.065 0.315 0.750
0.209 0.459 0.750
0.791 0.541 0.250
0.935 0.685 0.250
```

(6)
# SiBiW2

Crystalline SiBiW2 at its relaxed geometry (PBE-GGA, the Alexandria database).

Output
energy above the most stable polymorph in this dataset	53	meV per atom
ΔE_f (raw)	907	meV per atom

```
SiBiW2
1.0
-2.106 2.106 9.220
2.106 -2.106 9.220
2.106 2.106 -9.220
Si Bi W
2 2 4
Direct
0.000 0.000 0.000
0.750 0.250 0.500
0.250 0.750 0.500
0.500 0.500 0.000
0.047 0.625 0.922
0.375 0.297 0.422
0.703 0.125 0.078
0.875 0.953 0.578
```

(7)
# Ca2PmPuSe4

Crystalline Ca2PmPuSe4 at its relaxed geometry (PBE-GGA, the Alexandria database).

Output
ΔE_f (raw)	-1817	meV per atom

```
Ca2PmPuSe4
1.0
7.234 0.000 0.000
0.000 4.178 0.000
-2.419 0.000 6.903
Ca Pm Pu Se
2 1 1 4
Direct
0.000 0.000 0.000
0.500 0.500 0.000
0.000 0.500 0.500
0.500 0.000 0.500
0.251 0.000 0.753
0.251 0.500 0.249
0.749 0.000 0.247
0.749 0.500 0.751
```

(8)
# Dy2LuPu

Crystalline Dy2LuPu at its relaxed geometry (PBE-GGA, the Alexandria database).

Output
energy above the most stable polymorph in this dataset	88	meV per atom
formation energy from the elements	0.19	eV/atom

```
Dy2LuPu
1.0
0.000 3.917 3.917
3.917 0.000 3.917
3.917 3.917 0.000
Dy Lu Pu
2 1 1
Direct
0.250 0.250 0.250
0.750 0.750 0.750
0.000 0.000 0.000
0.500 0.500 0.500
```

Number 1: magnetization 0.0 μB per cell. Number 2: magnetization 0.0 μB per cell. Number 3: magnetization 0.0 μB per cell. Number 4: magnetization 0.0 μB per cell. Number 5: magnetization 0.0 μB per cell. Number 6: magnetization 0.0 μB per cell. Number 7: magnetization 6.0 μB per cell. Number 8: magnetization 7.3 μB per cell.